## Er2Tl3CuS6 (PBE)

Data for a relaxed structure of Er2Tl3CuS6.

Crystal system ... monoclinic
Formation energy from raw total energies ... -0.95 eV/atom

```
Er2Tl3CuS6
1.0
-4.2648 -3.7149 3.6275
-0.3489 -0.5094 -6.6907
6.6663 -3.7805 1.3554
Er Tl Cu S
2 3 1 6
direct
0.3369 0.6631 0.0000
0.6631 0.3369 0.0000
0.1777 0.8223 0.5000
0.8223 0.1777 0.5000
0.5000 0.5000 0.5000
0.0000 0.0000 0.0000
0.9356 0.6367 0.8226
0.7278 0.7278 0.2330
0.0644 0.3633 0.1774
0.6367 0.9356 0.8226
0.2722 0.2722 0.7670
0.3633 0.0644 0.1774
```

---

## Er2TmCuS5 (PBE)

Data for a relaxed structure of Er2TmCuS5.

Crystal system ... orthorhombic
Formation energy from raw total energies ... -1.70 eV/atom

```
Er2TmCuS5
1.0
3.7903 0.0000 0.0000
-1.8952 8.2583 0.0000
0.0000 0.0000 11.3585
Er Tm Cu S
4 2 2 10
direct
0.8791 0.7581 0.8065
0.1065 0.2130 0.6842
0.1209 0.2419 0.3065
0.8935 0.7870 0.1842
0.8055 0.6109 0.5100
0.1945 0.3891 0.0100
0.5581 0.1163 0.9564
0.4419 0.8837 0.4564
0.3578 0.7156 0.0013
0.6836 0.3671 0.8441
0.4972 0.9945 0.7789
0.2887 0.5774 0.6767
0.9576 0.9152 0.5660
0.6422 0.2844 0.5013
0.3164 0.6329 0.3441
0.5028 0.0055 0.2789
0.7113 0.4226 0.1767
0.0424 0.0848 0.0660
```

---

What D(E_F) values result from the calculations? In sequence: 6.456; 0.073 states/eV/f.u..